Material: Pu2Sn4Rh5
Method: DFT, PBE
State: optimized geometry

## Properties
**ΔE_f**: -0.415 eV/atom

abc: 5.851 5.763 8.603
angles: 80.06 70.12 59.49
Each line ends with the local moment (μB).
Positions (direct):
Pu 0.898 0.000 0.205  5.40
Pu 0.102 0.000 0.795  5.40
Sn 0.471 0.319 0.739  0.00
Sn 0.529 0.681 0.261  0.00
Sn 0.210 0.319 0.261  0.00
Sn 0.790 0.681 0.739  0.00
Rh 0.500 0.000 0.000  -0.06
Rh 0.000 0.500 0.000  -0.12
Rh 0.500 0.500 0.000  -0.12
Rh 0.250 0.500 0.500  -0.02
Rh 0.750 0.500 0.500  -0.02

***

Material: CdOs3
Method: DFT, PBE
State: optimized geometry

## Properties
**ΔE_f**: 0.827 eV/atom

abc: 8.447 8.447 8.447
angles: 153.00 153.00 38.56
Positions (direct):
Cd 0.377 0.377 0.000
Cd 0.623 0.623 0.000
Os 0.500 0.000 0.500
Os 0.127 0.127 0.000
Os 0.873 0.873 0.000
Os 0.750 0.250 0.500
Os 0.250 0.750 0.500
Os 0.000 0.500 0.500

***

Material: RbAlTe2
Method: DFT, PBE
State: optimized geometry

## Properties
**Raw formation energy**: -790 meV/atom

abc: 8.156 8.041 6.755
angles: 100.72 89.72 120.55
Positions (direct):
Te 0.552 0.483 0.540
Te 0.680 0.049 0.444
Te 0.340 0.059 0.950
Te 0.902 0.496 0.041
Al 0.628 0.272 0.244
Al 0.625 0.272 0.744
Rb 0.395 0.587 0.045
Rb 0.078 0.953 0.448

***

Material: LiMg8Cd2
Method: DFT, PBE
State: optimized geometry

## Properties
**ΔE_f**: 0.008 eV/atom

abc: 5.254 7.806 7.806
angles: 119.47 102.00 102.00
Positions (direct):
Li 0.500 0.000 0.000
Mg 0.868 0.903 0.678
Mg 0.868 0.678 0.903
Mg 0.307 0.606 0.606
Mg 0.500 0.785 0.215
Mg 0.500 0.215 0.785
Mg 0.693 0.394 0.394
Mg 0.132 0.322 0.097
Mg 0.132 0.097 0.322
Cd 0.000 0.305 0.695
Cd 0.000 0.695 0.305

***

Material: YCd2Ag
Method: DFT, PBE
State: optimized geometry

## Properties
**ΔE_f**: -0.024 eV/atom

abc: 8.243 8.243 6.539
angles: 50.92 50.92 90.00
Positions (direct):
Y 0.500 0.500 0.000
Y 0.250 0.750 0.500
Ag 0.000 0.000 0.000
Ag 0.750 0.250 0.500
Cd 0.663 0.125 0.250
Cd 0.087 0.625 0.250
Cd 0.375 0.337 0.750
Cd 0.875 0.913 0.750

***

Material: NaAlIr2
Method: DFT, PBE
State: optimized geometry

## Properties
**ΔE_f**: 0.019 eV/atom

abc: 4.360 4.360 4.360
angles: 60.00 60.00 60.00
Positions (direct):
Na 0.000 0.000 0.000
Ir 0.250 0.250 0.250
Ir 0.750 0.750 0.750
Al 0.500 0.500 0.500

***

Material: MgReMo
Method: DFT, PBE
State: optimized geometry

## Properties
**ΔE_f**: 0.177 eV/atom

abc: 5.381 5.381 5.381
angles: 145.45 145.45 49.66
Positions (direct):
Mg 0.002 0.002 0.000
Mo 0.314 0.314 0.000
Re 0.684 0.684 0.000

***

Material: Cr2SiS
Method: DFT, PBE
State: optimized geometry

## Properties
**Raw formation energy**: 262 meV/atom

abc: 5.317 5.317 6.831
angles: 67.09 67.09 90.00
Each line ends with the local moment (μB).
Positions (direct):
Cr 0.640 0.125 0.250  2.97
Cr 0.110 0.625 0.250  2.98
Cr 0.375 0.360 0.750  3.02
Cr 0.875 0.890 0.750  2.94
S 0.000 0.000 0.000  -0.16
S 0.750 0.250 0.500  -0.15
Si 0.500 0.500 0.000  -0.23
Si 0.250 0.750 0.500  -0.23

***

Material: VCrTc
Method: DFT, PBE
State: optimized geometry

## Properties
**ΔE_f**: 0.029 eV/atom

abc: 2.976 2.976 9.318
angles: 99.18 90.00 90.00
Each line ends with the local moment (μB).
Positions (direct):
V 0.060 0.149 0.298  0.01
V 0.060 0.984 0.968  0.03
Cr 0.560 0.401 0.803  -0.07
Cr 0.060 0.834 0.667  0.10
Tc 0.560 0.564 0.128  -0.01
Tc 0.560 0.730 0.461  -0.01

***

Material: NdHfTaN3
Method: DFT, PBE
State: optimized geometry

## Properties
**Raw formation energy**: -1190 meV/atom

abc: 3.224 6.909 8.420
angles: 95.00 90.00 90.00
Positions (direct):
Nd 0.750 0.853 0.815
Nd 0.250 0.147 0.185
Hf 0.250 0.635 0.128
Hf 0.750 0.365 0.872
Ta 0.250 0.150 0.584
Ta 0.750 0.850 0.416
N 0.250 0.846 0.577
N 0.750 0.851 0.149
N 0.750 0.414 0.123
N 0.750 0.154 0.423
N 0.250 0.586 0.877
N 0.250 0.149 0.851

***

Material: BaTcMo2
Method: DFT, PBE
State: optimized geometry

## Properties
**ΔE_f**: 1.511 eV/atom

abc: 5.231 3.896 3.896
angles: 90.00 90.00 90.00
Positions (direct):
Ba 0.500 0.000 0.500
Mo 0.000 0.000 0.000
Mo 0.000 0.500 0.500
Tc 0.500 0.500 0.000

***

Material: Ta2CdNi
Method: DFT, PBE
State: optimized geometry

## Properties
**ΔE_f**: 0.213 eV/atom

abc: 9.729 9.729 9.729
angles: 16.97 16.97 16.97
Positions (direct):
Cd 0.750 0.750 0.750
Ni 0.250 0.250 0.250
Ta 0.991 0.991 0.991
Ta 0.509 0.509 0.509

***

no.,volume (Å³/atom),total magnetization (μB per formula unit)
1,21.37,11.1
2,15.51,0.0
3,46.59,0.0
4,23.08,0.0
5,25.16,0.0
6,14.66,0.0
7,16.62,0.0
8,20.15,6.0
9,13.58,0.0
10,15.57,0.0
11,19.85,0.0
12,17.11,0.0